This record from the Alexandria database describes crystalline ZnIr2Ru at its relaxed geometry. The functional is PBE.

Lattice parameters (Å, degrees): 4.7331 4.7331 4.7331 132.31 132.31 69.74
Element x y z (fractional)
Zn  0.0000  0.0000  0.0000
Ir  0.2500  0.7500  0.5000
Ir  0.5000  0.5000  0.0000
Ru  0.7500  0.2500  0.5000

- Theoretical density: 16.1 g/cm³
- Symmetry: I-4m2 (119)
- Total magnetic moment: 0.00 Bohr magnetons per cell
- DFT formation energy: 0.007 eV per atom
- Calculated total energy: -28.24 eV/f.u.
- D(E_F): 4.689 states/eV/cell

***

This record from the Alexandria database describes crystalline ZnIr2Ru at its relaxed geometry. The functional is PBE.

Lattice parameters (Å, degrees): 2.7540 3.7963 5.4542 90.00 90.00 90.00
Element x y z (fractional)
Zn  0.0000  0.0000  0.0000
Ir  0.0000  0.0000  0.5072
Ir  0.5000  0.5000  0.2404
Ru  0.5000  0.5000  0.7411

- Theoretical density: 16.0 g/cm³
- Symmetry: Pmm2 (25)
- Total magnetic moment: 0.00 Bohr magnetons per cell
- DFT formation energy: 0.021 eV per atom
- Calculated total energy: -28.19 eV/f.u.
- D(E_F): 4.388 states/eV/cell

***

This record from the Alexandria database describes crystalline Zr2Ir3Ru3 at its relaxed geometry. The functional is PBE.

Lattice parameters (Å, degrees): 3.9587 3.9734 8.0030 90.00 90.00 90.00
Element x y z (fractional)
Zr  0.0000  0.0000  0.2501
Zr  0.0000  0.0000  0.7499
Ir  0.5000  0.0000  0.0000
Ir  0.5000  0.5000  0.2498
Ir  0.5000  0.5000  0.7502
Ru  0.0000  0.5000  0.0000
Ru  0.0000  0.5000  0.5000
Ru  0.5000  0.0000  0.5000

- Theoretical density: 14.0 g/cm³
- Symmetry: Pmmm (47)
- Total magnetic moment: 0.00 Bohr magnetons per cell
- DFT formation energy: -0.438 eV per atom
- Calculated total energy: -75.01 eV/f.u.
- D(E_F): 9.437 states/eV/cell

***

This record from the Alexandria database describes crystalline ZrIrRu at its relaxed geometry. The functional is PBE.

Lattice parameters (Å, degrees): 4.3677 4.3677 4.3677 60.00 60.00 60.00
Element x y z (fractional)
Zr  0.0000  0.0000  0.0000
Ir  0.2500  0.2500  0.2500
Ru  0.5000  0.5000  0.5000

- Theoretical density: 10.8 g/cm³
- Symmetry: F-43m (216)
- Total magnetic moment: 0.00 Bohr magnetons per cell
- DFT formation energy: 0.057 eV per atom
- Calculated total energy: -26.51 eV/f.u.
- D(E_F): 4.085 states/eV/cell
- ΔE to the lowest computed polymorph: 79 kJ/mol of formula units